BeCrRh2: relaxed, GGA-PBE.

Lattice parameters (Å, degrees): 4.722 4.722 4.722 136.11 136.11 63.81
Last column: magnetic moment on the atom in μB.
Fractional coordinates of all 4 atoms:
Cr 0.750 0.250 0.500  1.98
Rh 0.000 0.000 0.000  -0.23
Rh 0.250 0.750 0.500  -0.14
Be 0.500 0.500 0.000  -0.03

Results
electronic total energy = -7.185 eV per atom